## NiAgIr2 (PBE-GGA)

Data for a relaxed NiAgIr2 crystal.

total DFT energy (no corrections): -6.350 eV per atom
calculated formation energy: 92 kJ/mol of formula units
DOS(E_F): 1.148 states/eV per atom
ΔE to the lowest computed polymorph: 69 meV per atom

a = 2.743 Å, b = 3.795 Å, c = 5.615 Å
α = 90.00°, β = 90.00°, γ = 90.00°
Space group Pmm2 (No. 25)
Inequivalent atoms, fractional coordinates:
Ni  0.000  0.000  0.000 x1
Ag  0.500  0.500  0.249 x1
Ir  0.000  0.000  0.547 x1
Ir  0.500  0.500  0.757 x1